Record 1
The following is a DFT calculation (PBE) of a relaxed Tb3DyY2Se6 crystal.

Output
V = 579.9 Å³ per cell
crystal system = monoclinic
ΔE_f (raw) = -1.77 eV/atom
M_tot = 0.00 μB per atom

a = 17.811 Å, b = 4.076 Å, c = 8.212 Å
α = 90.00°, β = 103.44°, γ = 90.00°
Space group C2/m (No. 12)
Asymmetric unit:
1 Tb 0.000 0.000 0.000 [2 per cell]
2 Tb 0.167 0.500 0.333 [4 per cell]
3 Dy 0.000 0.000 0.500 [2 per cell]
4 Y 0.167 0.500 0.833 [4 per cell]
5 Se 0.000 0.500 0.251 [4 per cell]
6 Se 0.166 0.000 0.583 [4 per cell]
7 Se 0.167 0.000 0.083 [4 per cell]

---

Record 2
The following is a DFT calculation (PBE) of a relaxed TbDy2YSe4 crystal.

Output
V = 192.5 Å³ per cell
crystal system = monoclinic
ΔE_f (raw) = -1.76 eV/atom
M_tot = 0.00 μB per atom

a = 7.087 Å, b = 4.037 Å, c = 7.112 Å
α = 90.00°, β = 108.91°, γ = 90.00°
Space group P2/m (No. 10)
Asymmetric unit:
1 Tb 0.000 0.000 0.000 [1 per cell]
2 Dy 0.500 0.000 0.500 [1 per cell]
3 Dy 0.500 0.500 0.000 [1 per cell]
4 Y 0.000 0.500 0.500 [1 per cell]
5 Se 0.251 0.000 0.750 [2 per cell]
6 Se 0.252 0.500 0.251 [2 per cell]

---

Record 3
The following is a DFT calculation (PBE) of a relaxed Tb2Dy3YSe6 crystal.

Output
V = 577.6 Å³ per cell
crystal system = monoclinic
ΔE_f (raw) = -1.76 eV/atom
M_tot = 0.00 μB per atom

a = 17.791 Å, b = 4.072 Å, c = 8.200 Å
α = 90.00°, β = 103.51°, γ = 90.00°
Space group C2/m (No. 12)
Asymmetric unit:
1 Tb 0.167 0.000 0.334 [4 per cell]
2 Dy 0.000 0.500 0.500 [2 per cell]
3 Dy 0.167 0.000 0.833 [4 per cell]
4 Y 0.000 0.500 0.000 [2 per cell]
5 Se 0.000 0.000 0.251 [4 per cell]
6 Se 0.166 0.500 0.584 [4 per cell]
7 Se 0.167 0.500 0.082 [4 per cell]

---

Record 4
The following is a DFT calculation (PBE) of a relaxed Tb3DyY3Se8 crystal.

Output
V = 1148.9 Å³ per cell
crystal system = trigonal
ΔE_f (raw) = -1.85 eV/atom
M_tot = 0.00 μB per atom

a = 8.1519 Å, b = 8.1519 Å, c = 19.9626 Å
α = 90.00°, β = 90.00°, γ = 120.00°
Space group R-3m (No. 166, hexagonal axes)
Asymmetric unit:
1 Tb 0.0000 0.5000 0.0000 [9 per cell]
2 Dy 0.0000 0.0000 0.0000 [3 per cell]
3 Y 0.0000 0.5000 0.5000 [9 per cell]
4 Se 0.0000 0.0000 0.2497 [6 per cell]
5 Se 0.0033 0.5017 0.2489 [18 per cell]

---

Record 5
The following is a DFT calculation (PBE) of a relaxed TbDy2Y3Se6 crystal.

Output
V = 577.6 Å³ per cell
crystal system = monoclinic
ΔE_f (raw) = -1.76 eV/atom
M_tot = 0.00 μB per atom

a = 7.043 Å, b = 12.279 Å, c = 7.084 Å
α = 90.00°, β = 109.47°, γ = 90.00°
Space group C2/m (No. 12)
Asymmetric unit:
1 Tb 0.000 0.000 0.000 [2 per cell]
2 Dy 0.000 0.334 0.000 [4 per cell]
3 Y 0.000 0.166 0.500 [4 per cell]
4 Y 0.000 0.500 0.500 [2 per cell]
5 Se 0.248 0.500 0.249 [4 per cell]
6 Se 0.250 0.167 0.250 [8 per cell]

---

Record 6
The following is a DFT calculation (PBE) of a relaxed Dy2TcSe crystal.

Output
V = 304.0 Å³ per cell
crystal system = trigonal
ΔE_f (raw) = -0.01 eV/atom
M_tot = 0.00 μB per atom

a = 3.6354 Å, b = 3.6354 Å, c = 26.5632 Å
α = 90.00°, β = 90.00°, γ = 120.00°
Space group R-3m (No. 166, hexagonal axes)
Asymmetric unit:
1 Dy 0.0000 0.0000 0.0941 [6 per cell]
2 Tc 0.0000 0.0000 0.0000 [3 per cell]
3 Se 0.0000 0.0000 0.5000 [3 per cell]

---

Record 7
The following is a DFT calculation (PBE) of a relaxed Dy3Te2Se crystal.

Output
V = 724.6 Å³ per cell
crystal system = orthorhombic
ΔE_f (raw) = -1.19 eV/atom
M_tot = 0.00 μB per atom
distance to the lowest polymorph of the same formula = 239.1 meV per atom

a = 11.189 Å, b = 8.403 Å, c = 7.706 Å
α = 90.00°, β = 90.00°, γ = 90.00°
Space group Cmcm (No. 63)
Asymmetric unit:
1 Dy 0.000 0.060 0.250 [4 per cell]
2 Dy 0.183 0.500 0.000 [8 per cell]
3 Te 0.183 0.218 0.750 [8 per cell]
4 Se 0.000 0.400 0.250 [4 per cell]

---

Record 8
The following is a DFT calculation (PBE) of a relaxed Dy5Te4Se crystal.

Output
V = 565.5 Å³ per cell
crystal system = tetragonal
ΔE_f (raw) = -1.38 eV/atom
M_tot = 0.00 μB per atom

a = 4.229 Å, b = 4.229 Å, c = 31.628 Å
α = 90.00°, β = 90.00°, γ = 90.00°
Space group I4/mmm (No. 139)
Asymmetric unit:
1 Dy 0.000 0.000 0.000 [2 per cell]
2 Dy 0.000 0.000 0.213 [4 per cell]
3 Dy 0.000 0.000 0.413 [4 per cell]
4 Te 0.000 0.000 0.102 [4 per cell]
5 Te 0.000 0.000 0.310 [4 per cell]
6 Se 0.000 0.000 0.500 [2 per cell]

---

Record 9
The following is a DFT calculation (PBE) of a relaxed Dy4Te3Se crystal.

Output
V = 670.0 Å³ per cell
crystal system = trigonal
ΔE_f (raw) = -1.40 eV/atom
M_tot = 0.00 μB per atom

a = 4.2728 Å, b = 4.2728 Å, c = 42.3776 Å
α = 90.00°, β = 90.00°, γ = 120.00°
Space group R-3m (No. 166, hexagonal axes)
Asymmetric unit:
1 Dy 0.0000 0.0000 0.1253 [6 per cell]
2 Dy 0.0000 0.0000 0.3676 [6 per cell]
3 Te 0.0000 0.0000 0.2530 [6 per cell]
4 Te 0.0000 0.0000 0.5000 [3 per cell]
5 Se 0.0000 0.0000 0.0000 [3 per cell]

---

Record 10
The following is a DFT calculation (PBE) of a relaxed Dy2Te2Se crystal.

Output
V = 668.9 Å³ per cell
crystal system = orthorhombic
ΔE_f (raw) = -1.45 eV/atom
M_tot = 0.00 μB per atom
distance to the lowest polymorph of the same formula = 27.5 meV per atom

a = 8.586 Å, b = 6.212 Å, c = 12.541 Å
α = 90.00°, β = 90.00°, γ = 90.00°
Space group Pnma (No. 62)
Asymmetric unit:
1 Dy 0.082 0.250 0.239 [4 per cell]
2 Dy 0.155 0.250 0.577 [4 per cell]
3 Te 0.071 0.750 0.226 [4 per cell]
4 Te 0.148 0.750 0.569 [4 per cell]
5 Se 0.183 0.750 0.893 [4 per cell]

---

Record 11
The following is a DFT calculation (PBE) of a relaxed Dy5TeSe4 crystal.

Output
V = 498.9 Å³ per cell
crystal system = monoclinic
ΔE_f (raw) = -1.65 eV/atom
M_tot = 0.00 μB per atom
distance to the lowest polymorph of the same formula = 0.0 meV per atom

a = 13.781 Å, b = 4.115 Å, c = 10.132 Å
α = 90.00°, β = 119.75°, γ = 90.00°
Space group C2/m (No. 12)
Asymmetric unit:
1 Dy 0.000 0.000 0.000 [2 per cell]
2 Dy 0.113 0.500 0.393 [4 per cell]
3 Dy 0.209 0.000 0.816 [4 per cell]
4 Te 0.000 0.000 0.500 [2 per cell]
5 Se 0.094 0.500 0.892 [4 per cell]
6 Se 0.204 0.000 0.293 [4 per cell]

---

Record 12
The following is a DFT calculation (PBE) of a relaxed Dy3TeSe3 crystal.

Output
V = 1214.2 Å³ per cell
crystal system = trigonal
ΔE_f (raw) = -1.63 eV/atom
M_tot = 0.00 μB per atom
distance to the lowest polymorph of the same formula = 85.3 meV per atom

a = 8.2940 Å, b = 8.2940 Å, c = 20.3819 Å
α = 90.00°, β = 90.00°, γ = 120.00°
Space group R-3 (No. 148, hexagonal axes)
Asymmetric unit:
1 Dy 0.0093 0.3929 0.0945 [18 per cell]
2 Te 0.0000 0.0000 0.3281 [6 per cell]
3 Se 0.0025 0.7366 0.1031 [18 per cell]

---

Record 13
The following is a DFT calculation (PBE) of a relaxed Dy3Te2Se crystal.

Output
V = 330.2 Å³ per cell
crystal system = orthorhombic
ΔE_f (raw) = -1.43 eV/atom
M_tot = 0.00 μB per atom
distance to the lowest polymorph of the same formula = 0.0 meV per atom

a = 4.235 Å, b = 5.988 Å, c = 13.020 Å
α = 90.00°, β = 90.00°, γ = 90.00°
Space group Immm (No. 71)
Asymmetric unit:
1 Dy 0.000 0.000 0.000 [2 per cell]
2 Dy 0.000 0.000 0.357 [4 per cell]
3 Te 0.000 0.500 0.325 [4 per cell]
4 Se 0.000 0.500 0.000 [2 per cell]

---

Record 14
The following is a DFT calculation (PBE) of a relaxed Dy3TeSe3 crystal.

Output
V = 1648.5 Å³ per cell
crystal system = cubic
ΔE_f (raw) = -1.71 eV/atom
M_tot = 0.00 μB per atom
distance to the lowest polymorph of the same formula = 0.0 meV per atom

a = 11.813 Å, b = 11.813 Å, c = 11.813 Å
α = 90.00°, β = 90.00°, γ = 90.00°
Space group I4_132 (No. 214)
Asymmetric unit:
1 Dy 0.113 0.125 0.863 [24 per cell]
2 Te 0.125 0.125 0.125 [8 per cell]
3 Se 0.120 0.375 0.370 [24 per cell]

---

Record 15
The following is a DFT calculation (PBE) of a relaxed Dy3TeSe2 crystal.

Output
V = 308.5 Å³ per cell
crystal system = orthorhombic
ΔE_f (raw) = -1.57 eV/atom
M_tot = 0.00 μB per atom
distance to the lowest polymorph of the same formula = 0.0 meV per atom

a = 4.177 Å, b = 5.904 Å, c = 12.510 Å
α = 90.00°, β = 90.00°, γ = 90.00°
Space group Immm (No. 71)
Asymmetric unit:
1 Dy 0.000 0.000 0.000 [2 per cell]
2 Dy 0.000 0.000 0.317 [4 per cell]
3 Te 0.000 0.500 0.000 [2 per cell]
4 Se 0.000 0.500 0.339 [4 per cell]

---

Record 16
The following is a DFT calculation (PBE) of a relaxed Dy5TeSe5 crystal.

Output
V = 592.8 Å³ per cell
crystal system = monoclinic
ΔE_f (raw) = -1.73 eV/atom
M_tot = 0.00 μB per atom

a = 12.953 Å, b = 5.845 Å, c = 8.236 Å
α = 90.00°, β = 108.06°, γ = 90.00°
Space group C2/m (No. 12)
Asymmetric unit:
1 Dy 0.000 0.000 0.000 [2 per cell]
2 Dy 0.167 0.500 0.818 [4 per cell]
3 Dy 0.170 0.500 0.348 [4 per cell]
4 Te 0.000 0.500 0.000 [2 per cell]
5 Se 0.000 0.500 0.500 [2 per cell]
6 Se 0.161 0.000 0.335 [4 per cell]
7 Se 0.171 0.000 0.838 [4 per cell]

---

Record 17
The following is a DFT calculation (PBE) of a relaxed Dy2Te3Se crystal.

Output
V = 820.7 Å³ per cell
crystal system = monoclinic
ΔE_f (raw) = -1.21 eV/atom
M_tot = 0.00 μB per atom
distance to the lowest polymorph of the same formula = 0.0 meV per atom

a = 7.495 Å, b = 14.722 Å, c = 7.729 Å
α = 90.00°, β = 105.78°, γ = 90.00°
Space group Cc (No. 9)
Asymmetric unit:
1 Dy 0.000 0.059 0.000 [4 per cell]
2 Dy 0.286 0.291 0.896 [4 per cell]
3 Te 0.089 0.259 0.190 [4 per cell]
4 Te 0.137 0.125 0.667 [4 per cell]
5 Te 0.386 0.135 0.207 [4 per cell]
6 Se 0.261 0.461 0.717 [4 per cell]

---

Record 18
The following is a DFT calculation (PBE) of a relaxed Dy5Te5Se crystal.

Output
V = 667.8 Å³ per cell
crystal system = monoclinic
ΔE_f (raw) = -1.45 eV/atom
M_tot = 0.00 μB per atom

a = 13.525 Å, b = 6.090 Å, c = 8.556 Å
α = 90.00°, β = 108.65°, γ = 90.00°
Space group C2/m (No. 12)
Asymmetric unit:
1 Dy 0.000 0.000 0.000 [2 per cell]
2 Dy 0.156 0.500 0.319 [4 per cell]
3 Dy 0.161 0.500 0.841 [4 per cell]
4 Te 0.000 0.500 0.500 [2 per cell]
5 Te 0.161 0.000 0.820 [4 per cell]
6 Te 0.168 0.000 0.339 [4 per cell]
7 Se 0.000 0.500 0.000 [2 per cell]

---

Record 19
The following is a DFT calculation (PBE) of a relaxed Dy2Te3Se crystal.

Output
V = 788.8 Å³ per cell
crystal system = monoclinic
ΔE_f (raw) = -1.14 eV/atom
M_tot = 0.00 μB per atom
distance to the lowest polymorph of the same formula = 66.6 meV per atom

a = 6.912 Å, b = 14.976 Å, c = 7.998 Å
α = 90.00°, β = 107.68°, γ = 90.00°
Space group Cc (No. 9)
Asymmetric unit:
1 Dy 0.000 0.009 0.000 [4 per cell]
2 Dy 0.410 0.230 0.676 [4 per cell]
3 Te 0.130 0.384 0.496 [4 per cell]
4 Te 0.230 0.121 0.315 [4 per cell]
5 Te 0.246 0.341 0.999 [4 per cell]
6 Se 0.087 0.133 0.756 [4 per cell]

---

Record 20
The following is a DFT calculation (PBE) of a relaxed Dy6Te3Se2 crystal.

Output
V = 927.1 Å³ per cell
crystal system = trigonal
ΔE_f (raw) = -1.31 eV/atom
M_tot = 0.00 μB per atom

a = 4.1226 Å, b = 4.1226 Å, c = 62.9909 Å
α = 90.00°, β = 90.00°, γ = 120.00°
Space group R-3m (No. 166, hexagonal axes)
Asymmetric unit:
1 Dy 0.0000 0.0000 0.0931 [6 per cell]
2 Dy 0.0000 0.0000 0.1889 [6 per cell]
3 Dy 0.0000 0.0000 0.3629 [6 per cell]
4 Te 0.0000 0.0000 0.0000 [3 per cell]
5 Te 0.0000 0.0000 0.2720 [6 per cell]
6 Se 0.0000 0.0000 0.4515 [6 per cell]